(1)
A geometry-optimized CsTl2HgTe2 structure. Source: the Alexandria database, functional PBE.

Computed properties:
**Mass density**: 6.4 Mg/m³
**Formation energy from raw total energies**: -36.0 kJ/mol of atoms
**M_tot**: 0.0000 μB/atom

```
CsTl2HgTe2
1.0
7.476 0.000 0.000
0.000 13.089 0.000
0.000 0.000 5.302
Cs Tl Hg Te
2 4 2 4
direct
0.000 0.000 0.000
0.500 0.500 0.500
0.220 0.194 0.500
0.280 0.694 0.000
0.720 0.306 0.000
0.780 0.806 0.500
0.000 0.500 0.000
0.500 0.000 0.500
0.219 0.830 0.500
0.281 0.330 0.000
0.719 0.670 0.000
0.781 0.170 0.500
```

(2)
A geometry-optimized Nd2PuTl structure. Source: the Alexandria database, functional PBE.

Computed properties:
**Polymorph energy (0 for the lowest one)**: 0.017 eV per atom
**Mass density**: 10.0 Mg/m³
**Formation enthalpy at 0 K**: -0.064 eV per atom
**M_tot**: 1.5647 μB/atom

```
Nd2PuTl
1.0
3.696 0.000 0.000
0.000 3.696 0.000
0.000 0.000 8.943
Nd Pu Tl
2 1 1
direct
0.000 0.000 0.238
0.000 0.000 0.762
0.500 0.500 0.500
0.500 0.500 0.000
```

(3)
A geometry-optimized LiTi2HgN structure. Source: the Alexandria database, functional PBE.

Computed properties:
**Mass density**: 7.4 Mg/m³
**Formation energy from raw total energies**: -68.5 kJ/mol of atoms
**M_tot**: 0.0000 μB/atom

```
LiTi2HgN
1.0
4.116 0.000 0.000
0.000 4.116 0.000
0.000 0.000 4.193
Li Ti Hg N
1 2 1 1
direct
0.000 0.000 0.000
0.000 0.500 0.500
0.500 0.000 0.500
0.500 0.500 0.000
0.000 0.000 0.500
```

(4)
A geometry-optimized PuMg2Hg structure. Source: the Alexandria database, functional PBE.

Computed properties:
**Polymorph energy (0 for the lowest one)**: 0.098 eV per atom
**Mass density**: 8.8 Mg/m³
**Formation enthalpy at 0 K**: 0.061 eV per atom
**M_tot**: 1.4642 μB/atom

```
PuMg2Hg
1.0
7.184 0.000 0.000
0.000 7.184 0.000
0.000 0.000 7.184
Pu Mg Hg
4 8 4
direct
0.000 0.000 0.000
0.000 0.500 0.500
0.500 0.000 0.500
0.500 0.500 0.000
0.250 0.250 0.250
0.250 0.250 0.750
0.250 0.750 0.250
0.250 0.750 0.750
0.750 0.250 0.250
0.750 0.250 0.750
0.750 0.750 0.250
0.750 0.750 0.750
0.000 0.000 0.500
0.000 0.500 0.000
0.500 0.000 0.000
0.500 0.500 0.500
```

(5)
A geometry-optimized CrAs2P structure. Source: the Alexandria database, functional PBE.

Computed properties:
**Mass density**: 5.8 Mg/m³
**Formation enthalpy at 0 K**: 0.074 eV per atom
**M_tot**: 0.0500 μB/atom

```
CrAs2P
1.0
2.943 0.000 0.000
-1.472 2.549 0.000
0.000 0.000 26.573
Cr As P
3 6 3
direct
0.000 0.000 0.000
0.333 0.667 0.667
0.667 0.333 0.333
0.000 0.000 0.528
0.000 0.000 0.736
0.333 0.667 0.194
0.333 0.667 0.402
0.667 0.333 0.069
0.667 0.333 0.861
0.000 0.000 0.274
0.333 0.667 0.941
0.667 0.333 0.607
```

(6)
A geometry-optimized LaDyTm2 structure. Source: the Alexandria database, functional PBE.

Computed properties:
**Polymorph energy (0 for the lowest one)**: 0.012 eV per atom
**Mass density**: 8.3 Mg/m³
**Formation enthalpy at 0 K**: 0.026 eV per atom
**M_tot**: 0.0000 μB/atom

```
LaDyTm2
1.0
3.574 0.000 0.000
0.001 6.142 0.000
1.783 1.044 5.829
La Dy Tm
1 1 2
direct
0.000 0.000 0.000
0.250 0.749 0.504
0.499 0.499 0.004
0.751 0.252 0.500
```